Compound: Ac3Zn2Co4
Source: Alexandria via LeMat-Bulk
Functional: PBE-GGA
Structure: relaxed

Results
Formation enthalpy at 0 K: -0.0618 eV per atom
Calculated volume: 21.06 Å³ per atom
VASP energy: -4.873 eV per atom

a = 5.7376 Å, b = 5.7376 Å, c = 8.5198 Å
α = 97.11°, β = 97.11°, γ = 42.99°
Sites, in units of the cell vectors:
Ac1 0.0000 0.0000 0.0000
Ac2 0.3763 0.3763 0.6190
Ac3 0.6237 0.6237 0.3810
Zn1 0.3256 0.3256 0.2159
Zn2 0.6744 0.6744 0.7841
Co1 0.0931 0.0931 0.6520
Co2 0.2471 0.2471 0.9264
Co3 0.7529 0.7529 0.0736
Co4 0.9069 0.9069 0.3480